Here is an optimized crystal structure of Ce6PuTl from Alexandria. Energies are from GGA-PBE.

Lattice parameters (Å, degrees): 12.6624 6.0353 11.7689 90.00 100.81 90.00
With the nearest neighbours (Å) after each atom.
Space group C2/c (No. 15)
Asymmetric unit:
Ce (0.0807, 0.0860, 0.3958)  1 Pu 2.47
Ce (0.1390, 0.4246, 0.0351)  1 Pu 2.49
Ce (0.2213, 0.0790, 0.6818)  1 Pu 2.46
Pu (0.2500, 0.2500, 0.5000)  6 Ce 2.46-2.49
Tl (0.0000, 0.4042, 0.7500)  12 Ce 3.48-3.63

Values from the calculation:
* calculated total energy: -6.6769 eV per atom
* formation enthalpy at 0 K: -139 meV/atom
* spin magnetization: 0.00 Bohr magnetons per cell